Arrangement one

A relaxed structure of Hg2Pb8Au, computed with PBE-GGA.

Output
**Crystal system**: monoclinic
**N(E_F)**: 10.2 states/eV/cell

Cell and atoms, written as CIF:
```
data_Hg2Pb8Au
_space_group_name_H-M_alt 'C 1 2/m 1'
_space_group_IT_number 12
_cell_length_a 12.756
_cell_length_b 10.265
_cell_length_c 5.876
_cell_angle_alpha 90.00
_cell_angle_beta 110.94
_cell_angle_gamma 90.00
loop_
_space_group_symop_operation_xyz
'x,y,z'
'-x,-y,-z'
'-x,y,-z'
'x,-y,z'
'x+1/2,y+1/2,z'
'-x+1/2,-y+1/2,-z'
'-x+1/2,y+1/2,-z'
'x+1/2,-y+1/2,z'
loop_
_atom_site_label
_atom_site_fract_x
_atom_site_fract_y
_atom_site_fract_z
_atom_site_occupancy
Hg1 0.148 0.000 0.497 1
Pb1 0.076 0.232 0.796 1
Pb2 0.080 0.500 0.303 1
Pb3 0.231 0.500 0.923 1
Au1 0.000 0.000 0.000 1
```

=====

Arrangement two

A relaxed structure of Hg2Pb8Au, computed with PBE-GGA.

Output
**Crystal system**: tetragonal
**N(E_F)**: 5.6 states/eV/cell

Cell and atoms, written as CIF:
```
data_Hg2Pb8Au
_space_group_name_H-M_alt 'P 4/m m m'
_space_group_IT_number 123
_space_group_name_Hall '-P 4 2'
_cell_length_a 4.987
_cell_length_b 4.987
_cell_length_c 13.144
_cell_angle_alpha 90.00
_cell_angle_beta 90.00
_cell_angle_gamma 90.00
loop_
_atom_site_label
_atom_site_fract_x
_atom_site_fract_y
_atom_site_fract_z
_atom_site_occupancy
Hg1 0.000 0.000 0.182 1
Pb1 0.000 0.500 0.000 1
Pb2 0.000 0.500 0.365 1
Pb3 0.500 0.500 0.187 1
Au1 0.000 0.000 0.500 1
```

=====

Which one sits at the bottom of the stability order? arrangement one does.

=====

Arrangement one

A relaxed structure of PmHgPbAu, computed with PBE-GGA.

Output
**Crystal system**: cubic
**N(E_F)**: 4.3 states/eV/cell

Cell and atoms, written as CIF:
```
data_PmHgPbAu
_space_group_name_H-M_alt 'F -4 3 m'
_space_group_IT_number 216
_space_group_name_Hall 'F -4 2 3'
_cell_length_a 7.383
_cell_length_b 7.383
_cell_length_c 7.383
_cell_angle_alpha 90.00
_cell_angle_beta 90.00
_cell_angle_gamma 90.00
loop_
_atom_site_label
_atom_site_fract_x
_atom_site_fract_y
_atom_site_fract_z
_atom_site_occupancy
Pm1 0.000 0.000 0.000 1
Hg1 0.250 0.250 0.250 1
Pb1 0.000 0.000 0.500 1
Au1 0.250 0.250 0.750 1
```

=====

Arrangement two

A relaxed structure of PmHgPbAu, computed with PBE-GGA.

Output
**Crystal system**: tetragonal
**N(E_F)**: 2.1 states/eV/cell

Cell and atoms, written as CIF:
```
data_PmHgPbAu
_space_group_name_H-M_alt 'I -4 m 2'
_space_group_IT_number 119
_space_group_name_Hall 'I -4 -2'
_cell_length_a 4.923
_cell_length_b 4.923
_cell_length_c 8.310
_cell_angle_alpha 90.00
_cell_angle_beta 90.00
_cell_angle_gamma 90.00
loop_
_atom_site_label
_atom_site_fract_x
_atom_site_fract_y
_atom_site_fract_z
_atom_site_occupancy
Pm1 0.000 0.000 0.000 1
Hg1 0.000 0.500 0.750 1
Pb1 0.000 0.000 0.500 1
Au1 0.000 0.500 0.250 1
```

=====

Which one sits at the bottom of the stability order? arrangement one does.

=====

Arrangement one

A relaxed structure of RbHgPbAu2, computed with PBE-GGA.

Output
**Crystal system**: tetragonal
**N(E_F)**: 0.6 states/eV/cell

Cell and atoms, written as CIF:
```
data_RbHgPbAu2
_space_group_name_H-M_alt 'P 4/m m m'
_space_group_IT_number 123
_space_group_name_Hall '-P 4 2'
_cell_length_a 5.679
_cell_length_b 5.679
_cell_length_c 5.733
_cell_angle_alpha 90.00
_cell_angle_beta 90.00
_cell_angle_gamma 90.00
loop_
_atom_site_label
_atom_site_fract_x
_atom_site_fract_y
_atom_site_fract_z
_atom_site_occupancy
Rb1 0.000 0.000 0.000 1
Hg1 0.500 0.500 0.000 1
Pb1 0.500 0.500 0.500 1
Au1 0.000 0.500 0.500 1
```

=====

Arrangement two

A relaxed structure of RbHgPbAu2, computed with PBE-GGA.

Output
**Crystal system**: orthorhombic
**N(E_F)**: 5.2 states/eV/cell

Cell and atoms, written as CIF:
```
data_RbHgPbAu2
_space_group_name_H-M_alt 'I m m 2'
_space_group_IT_number 44
_cell_length_a 4.403
_cell_length_b 4.991
_cell_length_c 13.151
_cell_angle_alpha 90.00
_cell_angle_beta 90.00
_cell_angle_gamma 90.00
loop_
_space_group_symop_operation_xyz
'x,y,z'
'-x,-y,z'
'-x,y,z'
'x,-y,z'
'x+1/2,y+1/2,z+1/2'
'-x+1/2,-y+1/2,z+1/2'
'-x+1/2,y+1/2,z+1/2'
'x+1/2,-y+1/2,z+1/2'
loop_
_atom_site_label
_atom_site_fract_x
_atom_site_fract_y
_atom_site_fract_z
_atom_site_occupancy
Rb1 0.000 0.000 0.000 1
Hg1 0.000 0.000 0.615 1
Pb1 0.000 0.500 0.760 1
Au1 0.000 0.000 0.400 1
Au2 0.000 0.500 0.272 1
```

=====

Which one sits at the bottom of the stability order? arrangement one does.

=====

Arrangement one

A relaxed structure of SnHgPbAu, computed with PBE-GGA.

Output
**Crystal system**: monoclinic
**N(E_F)**: 3.3 states/eV/cell

Cell and atoms, written as CIF:
```
data_SnHgPbAu
_space_group_name_H-M_alt 'C 1 m 1'
_space_group_IT_number 8
_cell_length_a 12.555
_cell_length_b 4.431
_cell_length_c 3.808
_cell_angle_alpha 90.00
_cell_angle_beta 90.12
_cell_angle_gamma 90.00
loop_
_space_group_symop_operation_xyz
'x,y,z'
'x,-y,z'
'x+1/2,y+1/2,z'
'x+1/2,-y+1/2,z'
loop_
_atom_site_label
_atom_site_fract_x
_atom_site_fract_y
_atom_site_fract_z
_atom_site_occupancy
Sn1 0.000 0.000 0.000 1
Hg1 0.092 0.500 0.500 1
Pb1 0.266 0.000 0.998 1
Au1 0.332 0.500 0.499 1
```

=====

Arrangement two

A relaxed structure of SnHgPbAu, computed with PBE-GGA.

Output
**Crystal system**: cubic
**N(E_F)**: 12.9 states/eV/cell

Cell and atoms, written as CIF:
```
data_SnHgPbAu
_space_group_name_H-M_alt 'F -4 3 m'
_space_group_IT_number 216
_space_group_name_Hall 'F -4 2 3'
_cell_length_a 7.391
_cell_length_b 7.391
_cell_length_c 7.391
_cell_angle_alpha 90.00
_cell_angle_beta 90.00
_cell_angle_gamma 90.00
loop_
_atom_site_label
_atom_site_fract_x
_atom_site_fract_y
_atom_site_fract_z
_atom_site_occupancy
Sn1 0.000 0.000 0.000 1
Hg1 0.250 0.250 0.250 1
Pb1 0.000 0.000 0.500 1
Au1 0.250 0.250 0.750 1
```

=====

Which one sits at the bottom of the stability order? arrangement two does.